1.
First-principles (PBE) data for a relaxed Ca2NpGaO6 crystal, as listed in Alexandria.

**Energy relative to the elements, uncorrected**: -2.708 eV/atom
**SG**: No. 14
**Energy**: -7.680 eV/atom

Cell: 5.5828 5.7540 8.0164 Å, 90.00 89.40 90.00°
Site moments in Bohr magnetons follow the coordinates.
Atoms (fractional coordinates):
Ca 0.0143 0.9490 0.2515  0.01
Ca 0.5143 0.5510 0.7515  0.01
Ca 0.9857 0.0510 0.7485  0.01
Ca 0.4857 0.4490 0.2485  0.01
Np 0.5000 0.0000 0.5000  2.19
Np 0.0000 0.5000 0.0000  2.19
Ga 0.5000 0.0000 0.0000  0.00
Ga 0.0000 0.5000 0.5000  0.00
O 0.3072 0.7090 0.0541  -0.04
O 0.8072 0.7910 0.5541  -0.04
O 0.6928 0.2910 0.9459  -0.04
O 0.1928 0.2090 0.4459  -0.04
O 0.2925 0.6976 0.4467  -0.04
O 0.7925 0.8024 0.9467  -0.04
O 0.7075 0.3024 0.5533  -0.04
O 0.2075 0.1976 0.0533  -0.04
O 0.8978 0.5384 0.2575  -0.04
O 0.3978 0.9616 0.7575  -0.04
O 0.1022 0.4616 0.7425  -0.04
O 0.6022 0.0384 0.2425  -0.04

---

2.
First-principles (PBE) data for a relaxed CaNp2GaO8 crystal, as listed in Alexandria.

**Energy relative to the elements, uncorrected**: -2.661 eV/atom
**SG**: No. 65
**Energy**: -8.542 eV/atom

Cell: 4.8687 4.8673 6.8885 Å, 90.00 90.00 87.54°
Site moments in Bohr magnetons follow the coordinates.
Atoms (fractional coordinates):
Ca 0.0000 0.0000 0.5000  0.00
Np 0.5000 0.5000 0.7568  1.75
Np 0.5000 0.5000 0.2432  1.75
Ga 0.0000 0.0000 0.0000  0.00
O 0.2001 0.7992 0.2191  -0.06
O 0.6978 0.6986 0.0000  -0.07
O 0.7999 0.2009 0.2191  -0.06
O 0.7999 0.2008 0.7809  -0.06
O 0.3022 0.3014 0.0000  -0.07
O 0.2001 0.7991 0.7809  -0.06
O 0.6768 0.6778 0.5000  -0.06
O 0.3232 0.3222 0.5000  -0.06

---

3.
First-principles (PBE) data for a relaxed Ca4GaO crystal, as listed in Alexandria.

**Energy relative to the elements, uncorrected**: -0.948 eV/atom
**SG**: No. 2
**Energy**: -3.613 eV/atom

Cell: 6.5243 7.6616 7.5755 Å, 105.97 115.52 89.95°
Atoms (fractional coordinates):
Ca 0.4946 0.0510 0.7965
Ca 0.6986 0.4487 0.2031
Ca 0.5054 0.9490 0.2035
Ca 0.3014 0.5513 0.7969
Ca 0.8778 0.8677 0.6594
Ca 0.2187 0.6327 0.3411
Ca 0.1222 0.1323 0.3406
Ca 0.7813 0.3673 0.6589
Ga 0.8042 0.7499 0.9998
Ga 0.1958 0.2501 0.0002
O 0.5000 0.0000 0.5000
O 0.0000 0.5000 0.5000

---

4.
First-principles (PBE) data for a relaxed CaGa3O crystal, as listed in Alexandria.

**Energy relative to the elements, uncorrected**: 1.134 eV/atom
**SG**: No. 221
**Energy**: -2.074 eV/atom
**E above lowest polymorph**: 726 kJ/mol of formula units

Cell: 5.6099 5.6099 5.6099 Å, 90.00 90.00 90.00°
Atoms (fractional coordinates):
Ca 0.0000 0.0000 0.0000
O 0.5000 0.5000 0.5000
Ga 0.0000 0.5000 0.0000
Ga 0.0000 0.0000 0.5000
Ga 0.5000 0.0000 0.0000

---

5.
First-principles (PBE) data for a relaxed Ca4Ga2O crystal, as listed in Alexandria.

**Energy relative to the elements, uncorrected**: -0.976 eV/atom
**SG**: No. 139
**Energy**: -3.693 eV/atom

Cell: 4.7287 4.7287 8.5502 Å, 73.95 73.95 90.00°
Atoms (fractional coordinates):
Ca 0.1703 0.1703 0.6593
Ca 0.8297 0.8297 0.3407
Ca 0.0000 0.5000 0.0000
Ca 0.5000 0.0000 0.0000
O 0.0000 0.0000 0.0000
Ga 0.3670 0.3670 0.2660
Ga 0.6330 0.6330 0.7340

---

6.
First-principles (PBE) data for a relaxed Ca2GaO crystal, as listed in Alexandria.

**Energy relative to the elements, uncorrected**: -0.555 eV/atom
**SG**: No. 225
**Energy**: -3.552 eV/atom
**E above lowest polymorph**: 336 kJ/mol of formula units

Cell: 4.9375 4.9375 4.9375 Å, 60.00 60.00 60.00°
Site moments in Bohr magnetons follow the coordinates.
Atoms (fractional coordinates):
Ca 0.2500 0.2500 0.2500  0.11
Ca 0.7500 0.7500 0.7500  0.11
O 0.0000 0.0000 0.0000  0.23
Ga 0.5000 0.5000 0.5000  0.38

---

7.
First-principles (PBE) data for a relaxed CaGaO2 crystal, as listed in Alexandria.

**Energy relative to the elements, uncorrected**: -1.528 eV/atom
**SG**: No. 166
**Energy**: -5.264 eV/atom

Cell: 6.6490 6.6490 6.6490 Å, 27.41 27.41 27.41°
Atoms (fractional coordinates):
Ca 0.0000 0.0000 0.0000
O 0.8849 0.8849 0.8849
O 0.1151 0.1151 0.1151
Ga 0.5000 0.5000 0.5000

---

8.
First-principles (PBE) data for a relaxed CaGaO crystal, as listed in Alexandria.

**Energy relative to the elements, uncorrected**: -1.622 eV/atom
**SG**: No. 129
**Energy**: -4.951 eV/atom

Cell: 3.4759 3.4759 9.3038 Å, 90.00 90.00 90.00°
Atoms (fractional coordinates):
Ga 0.0000 0.0000 0.0000
Ga 0.5000 0.5000 0.0000
O 0.0000 0.5000 0.6205
O 0.5000 0.0000 0.3795
Ca 0.0000 0.5000 0.3728
Ca 0.5000 0.0000 0.6272

---

9.
First-principles (PBE) data for a relaxed Ca2GaO3 crystal, as listed in Alexandria.

**Energy relative to the elements, uncorrected**: -2.272 eV/atom
**SG**: No. 15
**Energy**: -5.922 eV/atom

Cell: 4.8554 6.7573 5.8176 Å, 106.86 114.66 90.00°
Atoms (fractional coordinates):
Ca 0.6643 0.5826 0.3298
Ca 0.6655 0.0826 0.3298
Ca 0.3345 0.9174 0.6702
Ca 0.3357 0.4174 0.6702
Ga 0.9831 0.7500 0.0000
Ga 0.0169 0.2500 0.0000
O 0.4175 0.2500 0.0000
O 0.5825 0.7500 0.0000
O 0.1688 0.0835 0.3341
O 0.8347 0.4165 0.6659
O 0.1653 0.5835 0.3341
O 0.8312 0.9165 0.6659

---

10.
First-principles (PBE) data for a relaxed Ca2GaO crystal, as listed in Alexandria.

**Energy relative to the elements, uncorrected**: -1.209 eV/atom
**SG**: No. 166
**Energy**: -4.206 eV/atom
**E above lowest polymorph**: 83 kJ/mol of formula units

Cell: 3.4589 3.4589 8.9854 Å, 78.90 78.90 60.00°
Site moments in Bohr magnetons follow the coordinates.
Atoms (fractional coordinates):
Ca 0.1140 0.1140 0.6579  0.07
Ca 0.8860 0.8860 0.3421  0.07
O 0.5000 0.5000 0.5000  -0.01
Ga 0.0000 0.0000 0.0000  -0.01

---

11.
First-principles (PBE) data for a relaxed Ca5GaO6 crystal, as listed in Alexandria.

**Energy relative to the elements, uncorrected**: -2.581 eV/atom
**SG**: No. 12
**Energy**: -6.147 eV/atom

Cell: 5.8907 5.8959 5.8949 Å, 59.99 80.42 70.57°
Site moments in Bohr magnetons follow the coordinates.
Atoms (fractional coordinates):
Ca 0.5000 0.1636 0.6727  0.01
Ca 0.0000 0.3328 0.3344  0.00
Ca 0.5000 0.5000 0.0000  0.01
Ca 0.0000 0.6672 0.6656  0.00
Ca 0.5000 0.8364 0.3273  0.01
Ga 0.0000 0.0000 0.0000  0.24
O 0.7486 0.0838 0.3336  0.06
O 0.2514 0.5826 0.3336  0.06
O 0.2504 0.2507 0.0000  0.05
O 0.7496 0.7493 0.0000  0.05
O 0.7486 0.4174 0.6664  0.06
O 0.2514 0.9162 0.6664  0.06

---

12.
First-principles (PBE) data for a relaxed Ca3Ga4O9 crystal, as listed in Alexandria.

**Energy relative to the elements, uncorrected**: -2.346 eV/atom
**SG**: No. 35
**Energy**: -6.267 eV/atom

Cell: 5.3722 11.1731 11.1731 Å, 99.06 90.00 90.00°
Site moments in Bohr magnetons follow the coordinates.
Atoms (fractional coordinates):
Ca 0.0029 0.0000 0.0000  0.00
Ca 0.9099 0.4019 0.5981  0.00
Ca 0.9099 0.5981 0.4019  0.00
Ca 0.9662 0.0796 0.6618  0.00
Ca 0.9662 0.9204 0.3382  0.00
Ca 0.9662 0.3382 0.9204  0.00
Ca 0.9662 0.6618 0.0796  0.00
Ca 0.9588 0.7609 0.7609  0.00
Ca 0.9588 0.2391 0.2391  0.00
Ga 0.4871 0.2029 0.0156  0.00
Ga 0.4871 0.0156 0.2029  0.00
Ga 0.4871 0.9844 0.7971  0.00
Ga 0.4871 0.7971 0.9844  0.00
Ga 0.4395 0.1339 0.4652  0.00
Ga 0.4395 0.8661 0.5348  0.00
Ga 0.4395 0.5348 0.8661  0.00
Ga 0.4395 0.4652 0.1339  0.00
Ga 0.3954 0.6118 0.6118  0.00
Ga 0.3954 0.3882 0.3882  0.00
Ga 0.4705 0.2621 0.7379  0.00
Ga 0.4705 0.7379 0.2621  0.00
O 0.2403 0.5000 0.0000  0.00
O 0.2403 0.0000 0.5000  0.00
O 0.2288 0.4147 0.2454  0.01
O 0.2288 0.5853 0.7546  0.01
O 0.2288 0.7546 0.5853  0.01
O 0.2288 0.2454 0.4147  0.01
O 0.1337 0.7287 0.2713  0.00
O 0.1337 0.2713 0.7287  0.00
O 0.1519 0.7970 0.9758  0.00
O 0.1519 0.2030 0.0242  0.00
O 0.1519 0.0242 0.2030  0.00
O 0.1519 0.9758 0.7970  0.00
O 0.2237 0.5000 0.5000  0.01
O 0.6626 0.3463 0.0672  0.00
O 0.6626 0.6537 0.9328  0.00
O 0.6626 0.9328 0.6537  0.00
O 0.6626 0.0672 0.3463  0.00
O 0.5982 0.8462 0.1538  0.00
O 0.5982 0.1538 0.8462  0.00
O 0.6401 0.5952 0.2037  0.00
O 0.6401 0.4048 0.7963  0.00
O 0.7342 0.6064 0.6064  0.06
O 0.7342 0.3936 0.3936  0.06
O 0.6617 0.8971 0.8971  0.00
O 0.6617 0.1029 0.1029  0.00
O 0.6401 0.2037 0.5952  0.00
O 0.6401 0.7963 0.4048  0.00